No. 1
The following is a DFT calculation (PBE) of an optimized crystal structure of LiNi2GeH.

Results
Volume, A^3/atom: 9.66
VASP energy, eV/atom: -4.57
Calculated density, g/cm³: 6.8

Unit cell a=3.679 b=3.679 c=3.569 alpha=90.00 beta=90.00 gamma=90.00
Fractional coordinates of all 5 atoms:
Ni  0.000  0.500  0.000
Ni  0.500  0.000  0.000
Ge  0.500  0.500  0.500
H  0.000  0.000  0.000
Li  0.000  0.000  0.500



No. 2
The following is a DFT calculation (PBE) of an optimized crystal structure of Li2GeHPd.

Results
Volume, A^3/atom: 12.02
VASP energy, eV/atom: -3.70
Calculated density, g/cm³: 5.4

Unit cell a=3.818 b=3.818 c=4.124 alpha=90.00 beta=90.00 gamma=90.00
Fractional coordinates of all 5 atoms:
H  0.000  0.000  0.000
Ge  0.000  0.000  0.500
Pd  0.500  0.500  0.500
Li  0.000  0.500  0.000
Li  0.500  0.000  0.000



No. 3
The following is a DFT calculation (PBE) of an optimized crystal structure of Li2GeHPd.

Results
Volume, A^3/atom: 11.81
VASP energy, eV/atom: -3.79
Calculated density, g/cm³: 5.5

Unit cell a=4.017 b=4.017 c=3.659 alpha=90.00 beta=90.00 gamma=90.00
Fractional coordinates of all 5 atoms:
H  0.000  0.000  0.000
Ge  0.500  0.500  0.500
Pd  0.000  0.000  0.500
Li  0.000  0.500  0.000
Li  0.500  0.000  0.000



No. 4
The following is a DFT calculation (PBE) of an optimized crystal structure of LiGeHPd2.

Results
Volume, A^3/atom: 11.94
VASP energy, eV/atom: -4.46
Calculated density, g/cm³: 8.2

Unit cell a=4.018 b=4.018 c=3.697 alpha=90.00 beta=90.00 gamma=90.00
Fractional coordinates of all 5 atoms:
H  0.000  0.000  0.000
Ge  0.500  0.500  0.500
Pd  0.000  0.500  0.000
Pd  0.500  0.000  0.000
Li  0.000  0.000  0.500